Record 1
The following is a GGA-PBE calculation of a relaxed La2ZnH crystal, from Alexandria.

Computed properties:
The distance to the lowest polymorph of the same formula is 34 meV/atom. The total energy is -15.363 eV/cell. For the size of the total moment, the calculation gives 0.00 μB/atom. As for the space group: R3m, No. 160.

The structure in POSCAR format:
```
La2ZnH
1.0
3.8226 0.0000 0.0000
1.9113 3.3104 0.0000
1.9113 1.1035 7.5384
La H Zn
2 1 1
Cartesian
1.9113 1.1035 6.0444 La
1.9113 1.1035 1.4626 La
3.8226 2.2070 0.0246 H
3.8226 2.2070 3.7760 Zn
```



Record 2
The following is a GGA-PBE calculation of a relaxed LaZnH2 crystal, from Alexandria.

Computed properties:
The distance to the lowest polymorph of the same formula is 178 meV/atom. The total energy is -26.539 eV/cell. For the size of the total moment, the calculation gives 0.00 μB/atom. As for the space group: I-42d, No. 122.

The structure in POSCAR format:
```
LaZnH2
1.0
-3.0509 -3.3378 1.0191
1.2888 -2.3355 -3.7910
3.0045 -5.4864 1.5674
H La Zn
4 2 2
Cartesian
0.6003 -8.8773 -0.9225 H
0.9118 -3.5367 -1.7621 H
1.7039 -6.4440 -0.1913 H
-0.7311 -3.4615 0.4669 H
-0.4637 -5.8305 0.6003 La
0.0000 0.0000 0.0000 La
1.7061 -5.3293 -1.8048 Zn
-0.8810 -2.8367 -1.3859 Zn
```



Record 3
The following is a GGA-PBE calculation of a relaxed LaZnH4 crystal, from Alexandria.

Computed properties:
The total energy is -42.220 eV/cell. For the size of the total moment, the calculation gives 0.00 μB/atom. As for the space group: C2/c, No. 15.

The structure in POSCAR format:
```
LaZnH4
1.0
4.1283 0.1930 -1.0610
-1.3192 4.6857 -2.2474
-0.1935 0.4104 6.8848
H Zn La
8 2 2
Cartesian
1.9068 3.2200 4.3626 H
-0.3544 3.5936 0.7602 H
2.0169 4.4129 1.5563 H
-0.3175 4.4147 4.2267 H
0.7088 2.0690 -0.7862 H
2.9331 0.8744 -0.6503 H
2.9700 1.6955 2.8161 H
0.5987 0.8762 2.0200 H
-0.0299 1.8770 0.7332 Zn
2.6456 3.4121 2.8431 Zn
1.3803 4.3296 -0.8967 La
1.2354 0.9595 4.4731 La
```



Record 4
The following is a GGA-PBE calculation of a relaxed La2ZnH crystal, from Alexandria.

Computed properties:
The distance to the lowest polymorph of the same formula is 218 meV/atom. The total energy is -14.627 eV/cell. For the size of the total moment, the calculation gives 0.00 μB/atom. As for the space group: Fm-3m, No. 225.

The structure in POSCAR format:
```
La2ZnH
1.0
-5.0653 -0.5942 0.1520
-3.0352 3.3690 -2.3390
-2.5380 -1.3496 -4.2155
La Zn H
2 1 1
Cartesian
-7.9788 1.0689 -4.8019 La
-2.6596 0.3563 -1.6006 La
-5.3192 0.7126 -3.2013 Zn
0.0000 0.0000 0.0000 H
```



Record 5
The following is a GGA-PBE calculation of a relaxed LaZnH5 crystal, from Alexandria.

Computed properties:
The total energy is -23.728 eV/cell. For the size of the total moment, the calculation gives 0.00 μB/atom. As for the space group: Imm2, No. 44.

The structure in POSCAR format:
```
LaZnH5
1.0
-1.0154 3.1613 3.8179
-4.2985 -0.6212 2.7239
-0.6193 -1.8673 4.7342
H La Zn
5 1 1
Cartesian
-2.4823 1.0441 7.2555 H
-1.8540 -0.9121 4.8931 H
-3.8460 -1.0116 6.5203 H
-4.0846 0.7151 5.0272 H
-2.0034 1.6561 4.8015 H
-3.5322 -0.8807 3.1426 La
-2.5689 0.2018 5.8553 Zn
```



Record 6
The following is a GGA-PBE calculation of a relaxed La2ZnH2 crystal, from Alexandria.

Computed properties:
The distance to the lowest polymorph of the same formula is 0 meV/atom. The total energy is -20.264 eV/cell. For the size of the total moment, the calculation gives 0.00 μB/atom. As for the space group: I4/mmm, No. 139.

The structure in POSCAR format:
```
La2ZnH2
1.0
-2.7087 0.5973 2.8004
2.7774 -0.3895 2.7696
1.1621 6.3815 2.5369
La H Zn
2 2 1
Cartesian
0.8746 4.6940 5.3927 La
0.3562 1.8953 2.7142 La
-0.7561 3.5413 4.0611 H
1.9869 3.0479 4.0457 H
0.0000 0.0000 0.0000 Zn
```



Record 7
The following is a GGA-PBE calculation of a relaxed La12Zn3H5 crystal, from Alexandria.

Computed properties:
The total energy is -335.790 eV/cell. For the size of the total moment, the calculation gives 0.00 μB/atom. As for the space group: Ia-3d, No. 230.

The structure in POSCAR format:
```
La12Zn3H5
1.0
-9.3544 7.5061 7.2025
7.3916 -7.9489 8.8261
8.6265 8.6279 -6.8458
La Zn H
48 12 20
Cartesian
10.4645 1.4322 0.6824 La
0.2763 8.6737 2.7356 La
7.2453 5.9666 0.0705 La
3.9833 -3.0422 6.9361 La
-3.1464 4.2938 10.9626 La
-3.8008 6.7529 8.5002 La
2.6804 11.2272 2.2466 La
0.2526 0.5193 5.7237 La
5.2558 9.2938 0.2618 La
5.6073 4.8013 5.8711 La
3.9667 9.7432 5.4637 La
-5.6461 4.6321 5.9690 La
-0.1079 13.6940 1.3466 La
2.3015 1.0580 0.9496 La
4.6885 3.3009 -0.9428 La
-0.5816 2.2184 9.1121 La
-0.6717 -0.9677 13.7100 La
4.4845 0.9707 9.3551 La
10.4083 1.9338 6.0368 La
2.6971 -1.5582 3.7189 La
4.2130 5.1588 2.2666 La
2.1793 7.2144 -0.1724 La
1.0564 3.3838 3.3116 La
12.3098 3.5529 3.2137 La
7.1524 2.7260 1.9327 La
-2.4719 11.3166 3.0987 La
6.7717 -5.5090 7.8360 La
1.9752 4.8841 10.1255 La
6.3874 -0.4887 6.4471 La
9.0083 4.9888 4.3297 La
9.1356 -3.1316 6.0840 La
-2.3446 3.1962 4.8530 La
-0.4887 5.4590 7.2500 La
9.8102 3.8913 -1.7800 La
2.4507 3.0263 6.9161 La
1.5719 1.4077 11.8037 La
7.3354 9.1527 -4.5273 La
6.4112 7.6658 3.4590 La
8.7065 -0.3193 3.5194 La
-3.7446 6.2512 3.1459 La
-2.0427 8.5044 5.6632 La
4.3622 7.1271 8.2331 La
7.6642 2.6112 8.1697 La
-1.0004 5.5738 1.0130 La
1.4079 -1.1088 8.9209 La
5.0918 6.7774 -2.6210 La
4.4846 1.7109 4.0282 La
2.1791 6.4741 5.1545 La
7.4274 2.2455 5.0418 Zn
11.7682 0.4538 3.4887 Zn
4.8434 4.0667 8.8460 Zn
9.8293 4.4578 1.3268 Zn
-1.5631 1.6846 12.0660 Zn
1.8203 4.1184 0.3367 Zn
-5.1045 7.7312 5.6939 Zn
3.2685 0.0037 6.5058 Zn
3.3952 8.1814 2.6769 Zn
-3.1656 3.7272 7.8559 Zn
8.2268 6.5004 -2.8833 Zn
-0.7637 5.9395 4.1409 Zn
2.9045 8.0707 6.6841 H
4.3132 4.3139 -3.4229 H
5.8248 4.2881 0.8317 H
3.6958 -3.9745 4.4130 H
-0.9814 -0.2214 8.0143 H
1.4563 12.1853 0.5150 H
7.6094 -1.7880 4.9527 H
0.8389 3.8969 8.3509 H
7.2454 6.2790 5.1310 H
0.0000 0.0000 0.0000 H
-0.5817 1.9060 4.0517 H
3.3319 4.0925 4.5913 H
3.7592 0.1144 2.4986 H
-0.9456 9.9730 4.2300 H
3.8859 8.2921 -1.3302 H
2.7778 -0.1070 10.5129 H
8.0091 0.3395 0.9901 H
5.2074 -4.0003 8.6677 H
-0.3640 8.0670 0.1783 H
-4.6772 3.7530 3.6012 H
```



Record 8
The following is a GGA-PBE calculation of a relaxed La3ZnH crystal, from Alexandria.

Computed properties:
The distance to the lowest polymorph of the same formula is 0 meV/atom. The total energy is -20.298 eV/cell. For the size of the total moment, the calculation gives 0.00 μB/atom. As for the space group: Pm-3m, No. 221.

The structure in POSCAR format:
```
La3ZnH
1.0
-1.2993 2.9930 3.8255
-4.8341 -0.4109 -1.3203
-0.4733 -4.0192 2.9838
La H Zn
3 1 1
Cartesian
-0.6496 1.4965 1.9128 La
-2.4171 -0.2055 -0.6601 La
-0.2366 -2.0096 1.4919 La
0.0000 0.0000 0.0000 H
-3.3033 -0.7186 2.7445 Zn
```